First-principles (GGA-PBE) data for K2PdBr after structural relaxation, as listed in Alexandria via LeMat-Bulk.

Cell and atoms, written as POSCAR:
```
K2PdBr
1.0
0.0000 3.9758 3.9758
3.9758 0.0000 3.9758
3.9758 3.9758 0.0000
K Pd Br
2 1 1
Direct
0.2500 0.2500 0.2500
0.7500 0.7500 0.7500
0.0000 0.0000 0.0000
0.5000 0.5000 0.5000
```

Volume in Å³ per cell: 125.7
Raw total energy in Ha/atom: -0.0996
Total moment in μB per cell: 0.71
Calculated density in g cm⁻³: 3.49
ΔE_f (raw) in eV/atom: -0.45
Space-group type: Fm-3m, No. 225
Excess energy over the best structure of this formula in the dataset in eV per atom: 0.000

---

First-principles (GGA-PBE) data for TeAs after structural relaxation, as listed in Alexandria via LeMat-Bulk.

Cell and atoms, written as POSCAR:
```
TeAs
1.0
4.5850 0.0000 0.0000
-2.2925 3.9707 0.0000
0.0000 0.0000 11.4817
Te As
4 4
Direct
0.3333 0.6667 0.0775
0.3333 0.6667 0.4225
0.6667 0.3333 0.5775
0.6667 0.3333 0.9225
0.0000 0.0000 0.2500
0.0000 0.0000 0.7500
0.3333 0.6667 0.7500
0.6667 0.3333 0.2500
```

Volume in Å³ per cell: 209.0
Raw total energy in Ha/atom: -0.1300
Total moment in μB per cell: 0.00
Calculated density in g cm⁻³: 6.44
ΔE_f (raw) in eV/atom: 0.36
Space-group type: P6_3/mmc, No. 194

---

First-principles (GGA-PBE) data for SrY2InN after structural relaxation, as listed in Alexandria via LeMat-Bulk.

Cell and atoms, written as POSCAR:
```
SrY2InN
1.0
4.8806 0.0000 0.0000
0.0000 4.8806 0.0000
0.0000 0.0000 5.1627
Sr Y In N
1 2 1 1
Direct
0.0000 0.0000 0.0000
0.0000 0.5000 0.5000
0.5000 0.0000 0.5000
0.5000 0.5000 0.0000
0.0000 0.0000 0.5000
```

Volume in Å³ per cell: 123.0
Raw total energy in Ha/atom: -0.2183
Total moment in μB per cell: 0.00
Calculated density in g cm⁻³: 5.32
ΔE_f (raw) in eV/atom: -0.81
Space-group type: P4/mmm, No. 123

---

First-principles (GGA-PBE) data for SrLi2Ho2Sn2 after structural relaxation, as listed in Alexandria via LeMat-Bulk.

Cell and atoms, written as POSCAR:
```
SrLi2Ho2Sn2
1.0
2.4369 1.4069 9.3603
-2.4369 1.4069 9.3603
0.0000 -2.8139 9.3603
Sr Li Ho Sn
1 2 2 2
Direct
0.0000 0.0000 0.0000
0.4195 0.4195 0.4195
0.5805 0.5805 0.5805
0.1319 0.1319 0.1319
0.8681 0.8681 0.8681
0.2518 0.2518 0.2518
0.7482 0.7482 0.7482
```

Volume in Å³ per cell: 192.6
Raw total energy in Ha/atom: -0.1364
ΔE_f in eV per formula unit: -3.31
Total moment in μB per cell: 0.00
Calculated density in g cm⁻³: 5.77
Space-group type: R-3m, No. 166